Below is crystalline Sr2MoBr at its relaxed geometry, with properties calculated at the PBE-GGA level.

a = 7.3760 Å, b = 7.3760 Å, c = 7.3760 Å
α = 143.63°, β = 143.63°, γ = 52.37°
Fractional coordinates of all 4 atoms:
Br 0.5000 0.5000 0.0000
Mo 0.7500 0.2500 0.5000
Sr 0.0000 0.0000 0.0000
Sr 0.2500 0.7500 0.5000

## Properties
Total magnetization in μB/cell: 3.99
Excess energy over the best structure of this formula in the dataset in kcal/mol of atoms: 7.75
Space-group type: I-4m2, No. 119
Crystal system: tetragonal
Formation energy from raw total energies in eV per formula unit: 1.39

Below is crystalline SrMoBr at its relaxed geometry, with properties calculated at the PBE-GGA level.

a = 4.8239 Å, b = 4.8239 Å, c = 4.0115 Å
α = 90.00°, β = 90.00°, γ = 120.00°
Fractional coordinates of all 3 atoms:
Sr 0.3333 0.6667 0.6667
Br 0.0000 0.0000 0.1665
Mo 0.6667 0.3333 0.1668

## Properties
Total magnetization in μB/cell: 3.50
Excess energy over the best structure of this formula in the dataset in kcal/mol of atoms: 0.40
Space-group type: P-6m2, No. 187
Crystal system: hexagonal
Formation energy from raw total energies in eV per formula unit: 1.58

Below is crystalline SrMoBr2 at its relaxed geometry, with properties calculated at the PBE-GGA level.

a = 5.5089 Å, b = 5.5089 Å, c = 5.5089 Å
α = 60.00°, β = 60.00°, γ = 60.00°
Fractional coordinates of all 4 atoms:
Br 0.7500 0.7500 0.7500
Br 0.2500 0.2500 0.2500
Sr 0.0000 0.0000 0.0000
Mo 0.5000 0.5000 0.5000

## Properties
Total magnetization in μB/cell: 5.94
Excess energy over the best structure of this formula in the dataset in kcal/mol of atoms: 3.87
Space-group type: Fm-3m, No. 225
Crystal system: cubic
Formation energy from raw total energies in eV per formula unit: -0.27

What is the formation energy from raw total energies in the second record? 1.58 eV per formula unit